# PBE InSIO2, optimized geometry
data_InSIO2
_chemical_formula_sum 'In1 S1 I1 O2'
_cell_length_a 4.1061
_cell_length_b 4.1061
_cell_length_c 5.3096
_cell_angle_alpha 90.00
_cell_angle_beta 90.00
_cell_angle_gamma 90.00
_symmetry_space_group_name_H-M 'P 1'
_symmetry_Int_Tables_number 1
loop_
_symmetry_equiv_pos_as_xyz
'x,y,z'
loop_
_atom_site_label
_atom_site_type_symbol
_atom_site_fract_x
_atom_site_fract_y
_atom_site_fract_z
In1 In 0.0000 0.0000 0.0000
S1 S 0.5000 0.5000 0.5000
I1 I 0.5000 0.5000 0.0000
O1 O 0.0000 0.5000 0.5000
O2 O 0.5000 0.0000 0.5000
# Crystal system   tetragonal
# Final energy   -3.35 eV/atom
# Space group   No. 123
# E_form (uncorrected)   0.32 eV per atom